## Al3CrPt12 (GGA-PBE)

Data for Al3CrPt12 after structural relaxation.

Summary:
Total magnetic moment ... 2.12 Bohr magnetons per cell
Uncorrected energy ... -6.424 eV per atom
ΔH_f (0 K) ... -0.590 eV per atom
Space group ... P4/mmm (123)

Unit cell a=3.9236 b=3.9236 c=15.6441 alpha=90.00 beta=90.00 gamma=90.00
With the nearest neighbours (Å) after each atom.
Fractional positions:
Al 0.0000 0.0000 0.0000  12 Pt 2.77
Al 0.0000 0.0000 0.2480  12 Pt 2.75-2.80
Al 0.0000 0.0000 0.7520  12 Pt 2.75-2.80
Cr 0.0000 0.0000 0.5000  12 Pt 2.76-2.77
Pt 0.0000 0.5000 0.1251  4 Al 2.75-2.77, 8 Pt 2.77
Pt 0.0000 0.5000 0.3755  2 Cr 2.76, 8 Pt 2.76-2.77, 2 Al 2.80
Pt 0.0000 0.5000 0.6245  2 Cr 2.76, 8 Pt 2.76-2.77, 2 Al 2.80
Pt 0.0000 0.5000 0.8749  4 Al 2.75-2.77, 8 Pt 2.77
Pt 0.5000 0.0000 0.1251  4 Al 2.75-2.77, 8 Pt 2.77
Pt 0.5000 0.0000 0.3755  2 Cr 2.76, 8 Pt 2.76-2.77, 2 Al 2.80
Pt 0.5000 0.0000 0.6245  2 Cr 2.76, 8 Pt 2.76-2.77, 2 Al 2.80
Pt 0.5000 0.0000 0.8749  4 Al 2.75-2.77, 8 Pt 2.77
Pt 0.5000 0.5000 0.0000  8 Pt 2.77, 4 Al 2.77
Pt 0.5000 0.5000 0.2504  8 Pt 2.77, 4 Al 2.77
Pt 0.5000 0.5000 0.5000  8 Pt 2.76, 4 Cr 2.77
Pt 0.5000 0.5000 0.7496  8 Pt 2.77, 4 Al 2.77